# 1
12
Lattice="3.0798 0.0000 0.0000 -1.5399 2.6672 0.0000 0.0000 0.0000 31.1149" Properties=species:S:1:pos:R:3 comment="CeZrAl2 (PBE-GGA, optimized geometry)" delta_e_f_ev_per_atom=-0.15 pbc="T T T"
Ce 0.0000 0.0000 0.0000
Ce 0.0000 1.7781 20.7433
Ce 1.5399 0.8891 10.3716
Zr 0.0000 0.0000 15.5574
Zr 0.0000 1.7781 5.1858
Zr 1.5399 0.8891 25.9290
Al 0.0000 0.0000 7.6305
Al 0.0000 0.0000 23.4844
Al 0.0000 1.7781 13.1128
Al 0.0000 1.7781 28.3737
Al 1.5399 0.8891 2.7412
Al 1.5399 0.8891 18.0021

***

# 2
4
Lattice="4.4658 0.0000 0.0000 0.0000 4.4658 0.0000 0.0000 0.0000 4.3284" Properties=species:S:1:pos:R:3 comment="CeZrAl2 (PBE-GGA, optimized geometry)" delta_e_f_ev_per_atom=-0.24 pbc="T T T"
Ce 0.0000 0.0000 0.0000
Zr 2.2329 2.2329 0.0000
Al 0.0000 2.2329 2.1642
Al 2.2329 0.0000 2.1642

***

# 3
16
Lattice="7.3656 0.0000 0.0000 0.0000 7.3656 0.0000 0.0000 0.0000 7.3656" Properties=species:S:1:pos:R:3 comment="Ce2ZrAl (PBE-GGA, optimized geometry)" delta_e_f_ev_per_atom=0.03 pbc="T T T"
Ce 1.8414 1.8414 1.8414
Ce 1.8414 1.8414 5.5242
Ce 1.8414 5.5242 1.8414
Ce 1.8414 5.5242 5.5242
Ce 5.5242 1.8414 1.8414
Ce 5.5242 1.8414 5.5242
Ce 5.5242 5.5242 1.8414
Ce 5.5242 5.5242 5.5242
Zr 0.0000 0.0000 0.0000
Zr 0.0000 3.6828 3.6828
Zr 3.6828 0.0000 3.6828
Zr 3.6828 3.6828 0.0000
Al 0.0000 0.0000 3.6828
Al 0.0000 3.6828 0.0000
Al 3.6828 0.0000 0.0000
Al 3.6828 3.6828 3.6828

***

# 4
4
Lattice="3.0659 0.0000 0.0000 0.0000 3.0659 0.0000 0.0000 0.0000 9.4764" Properties=species:S:1:pos:R:3 comment="CeZr2Al (PBE-GGA, optimized geometry)" delta_e_f_ev_per_atom=-0.16 pbc="T T T"
Ce 0.0000 0.0000 0.0000
Zr 1.5330 1.5330 2.7095
Zr 1.5330 1.5330 6.7669
Al 0.0000 0.0000 4.7382

***

# 5
6
Lattice="3.8572 0.0000 0.0000 0.0000 3.8572 0.0000 0.0000 0.0000 9.3377" Properties=species:S:1:pos:R:3 comment="CeZrAl (PBE-GGA, optimized geometry)" delta_e_f_ev_per_atom=-0.11 pbc="T T T"
Ce 0.0000 0.0000 0.0000
Ce 1.9286 1.9286 4.6689
Zr 0.0000 0.0000 6.5965
Zr 1.9286 1.9286 1.9276
Al 0.0000 0.0000 3.1252
Al 1.9286 1.9286 7.7941

***

# 6
3
Lattice="4.9639 0.0000 0.0000 -2.4819 4.2988 0.0000 0.0000 0.0000 3.0554" Properties=species:S:1:pos:R:3 comment="CeZrAl (PBE-GGA, optimized geometry)" delta_e_f_ev_per_atom=-0.03 pbc="T T T"
Ce 0.0000 0.0000 0.0000
Zr 0.0000 2.8659 3.0501
Al 2.4819 1.4329 1.5272

***

# 7
12
Lattice="3.0676 0.0000 0.0000 -1.5338 2.6566 0.0000 0.0000 0.0000 36.0731" Properties=species:S:1:pos:R:3 comment="Ce2ZrAl (PBE-GGA, optimized geometry)" delta_e_f_ev_per_atom=0.25 pbc="T T T"
Ce 0.0000 0.0000 3.1031
Ce 0.0000 0.0000 32.9700
Ce 0.0000 1.7711 20.9456
Ce 0.0000 1.7711 27.1518
Ce 1.5338 0.8855 8.9213
Ce 1.5338 0.8855 15.1275
Zr 0.0000 0.0000 18.0365
Zr 0.0000 1.7711 6.0122
Zr 1.5338 0.8855 30.0609
Al 0.0000 0.0000 0.0000
Al 0.0000 1.7711 24.0487
Al 1.5338 0.8855 12.0243

***

# 8
4
Lattice="3.1113 0.0000 0.0000 0.0000 3.1113 0.0000 0.0000 0.0000 8.6270" Properties=species:S:1:pos:R:3 comment="CeZrAl2 (PBE-GGA, optimized geometry)" delta_e_f_ev_per_atom=-0.39 pbc="T T T"
Ce 0.0000 0.0000 0.0000
Zr 0.0000 0.0000 4.3135
Al 1.5557 1.5557 2.3160
Al 1.5557 1.5557 6.3110

***

# 9
16
Lattice="7.0543 0.0000 0.0000 0.0000 7.0543 0.0000 0.0000 0.0000 7.0543" Properties=species:S:1:pos:R:3 comment="CeZrAl2 (PBE-GGA, optimized geometry)" delta_e_f_ev_per_atom=-0.25 pbc="T T T"
Ce 0.0000 0.0000 0.0000
Ce 0.0000 3.5272 3.5272
Ce 3.5272 0.0000 3.5272
Ce 3.5272 3.5272 0.0000
Zr 0.0000 0.0000 3.5272
Zr 0.0000 3.5272 0.0000
Zr 3.5272 0.0000 0.0000
Zr 3.5272 3.5272 3.5272
Al 1.7636 1.7636 1.7636
Al 1.7636 1.7636 5.2907
Al 1.7636 5.2907 1.7636
Al 1.7636 5.2907 5.2907
Al 5.2907 1.7636 1.7636
Al 5.2907 1.7636 5.2907
Al 5.2907 5.2907 1.7636
Al 5.2907 5.2907 5.2907

***

# 10
12
Lattice="5.3129 0.0000 0.0000 0.0000 5.2441 0.0000 -0.3333 0.0000 9.6182" Properties=species:S:1:pos:R:3 comment="CeZrAl (PBE-GGA, optimized geometry)" delta_e_f_ev_per_atom=-0.22 pbc="T T T"
Ce 1.1120 0.0000 0.7800
Ce 1.2111 2.6220 8.8382
Ce 3.7684 2.6220 0.7800
Ce 3.8676 0.0000 8.8382
Zr 1.1626 0.0000 3.9610
Zr 1.1606 2.6220 5.6572
Zr 3.8190 2.6220 3.9610
Zr 3.8170 0.0000 5.6572
Al 1.1497 2.6220 2.6228
Al 1.1734 0.0000 6.9955
Al 3.8062 0.0000 2.6228
Al 3.8299 2.6220 6.9955

***

# 11
4
Lattice="3.0981 0.0000 0.0000 0.0000 3.0981 0.0000 0.0000 0.0000 9.9306" Properties=species:S:1:pos:R:3 comment="Ce2ZrAl (PBE-GGA, optimized geometry)" delta_e_f_ev_per_atom=-0.09 pbc="T T T"
Ce 0.0000 0.0000 2.3217
Ce 0.0000 0.0000 7.6089
Zr 1.5490 1.5490 4.9653
Al 1.5490 1.5490 0.0000

***

# 12
16
Lattice="6.6955 0.0000 0.0000 0.0000 6.6955 0.0000 0.0000 0.0000 6.6955" Properties=species:S:1:pos:R:3 comment="AlCl3 (PBE-GGA, optimized geometry)" raw_formation_energy_ev_per_atom=-0.065 pbc="T T T"
Al 0.0000 0.0000 0.0000
Al 0.0000 3.3478 3.3478
Al 3.3478 0.0000 3.3478
Al 3.3478 3.3478 0.0000
Cl 0.0000 0.0000 3.3478
Cl 0.0000 3.3478 0.0000
Cl 1.6739 1.6739 1.6739
Cl 1.6739 1.6739 5.0216
Cl 1.6739 5.0216 1.6739
Cl 1.6739 5.0216 5.0216
Cl 3.3478 0.0000 0.0000
Cl 3.3478 3.3478 3.3478
Cl 5.0216 1.6739 1.6739
Cl 5.0216 1.6739 5.0216
Cl 5.0216 5.0216 1.6739
Cl 5.0216 5.0216 5.0216

***

# 13
6
Lattice="4.3118 0.0000 0.0000 -2.1559 3.7341 0.0000 0.0000 0.0000 8.4353" Properties=species:S:1:pos:R:3 comment="AlCl2 (PBE-GGA, optimized geometry)" raw_formation_energy_ev_per_atom=-0.443 pbc="T T T"
Al 0.0000 2.4894 2.1088
Al 2.1559 1.2447 6.3264
Cl 0.0000 0.0000 0.0000
Cl 0.0000 0.0000 4.2176
Cl 0.0000 2.4894 6.3264
Cl 2.1559 1.2447 2.1088

***

# 14
4
Lattice="5.4174 0.0000 0.0000 0.0000 5.4174 0.0000 0.0000 0.0000 5.4174" Properties=species:S:1:pos:R:3 comment="Al3Cl (PBE-GGA, optimized geometry)" raw_formation_energy_ev_per_atom=0.955 pbc="T T T"
Al 0.0000 0.0000 2.7087
Al 0.0000 2.7087 0.0000
Al 2.7087 0.0000 0.0000
Cl 0.0000 0.0000 0.0000

***

# 15
8
Lattice="3.3568 0.0000 0.0000 0.0000 11.4394 0.0000 0.0000 0.0000 8.2737" Properties=species:S:1:pos:R:3 comment="AlCl3 (PBE-GGA, optimized geometry)" raw_formation_energy_ev_per_atom=-0.499 pbc="T T T"
Al 0.0000 0.0000 0.0000
Al 1.6784 5.7197 0.0000
Cl 0.0000 0.0000 4.1369
Cl 0.0000 5.7197 1.5893
Cl 0.0000 5.7197 6.6845
Cl 1.6784 0.0000 1.5893
Cl 1.6784 0.0000 6.6845
Cl 1.6784 5.7197 4.1369

***

# 16
16
Lattice="6.0166 0.0000 0.0000 0.0000 10.4278 0.0000 -1.9698 0.0000 6.6221" Properties=species:S:1:pos:R:3 comment="AlCl3 (PBE-GGA, optimized geometry)" raw_formation_energy_ev_per_atom=-1.506 pbc="T T T"
Al 0.0000 1.7365 0.0000
Al 0.0000 8.6913 0.0000
Al 3.0083 3.4774 0.0000
Al 3.0083 6.9504 0.0000
Cl 0.8230 0.0000 1.3405
Cl 1.0914 3.3204 1.3387
Cl 1.0914 7.1074 1.3387
Cl -0.0529 1.8935 5.2834
Cl -0.0529 8.5343 5.2834
Cl 0.2156 5.2139 5.2817
Cl 3.8313 5.2139 1.3405
Cl 4.0997 1.8935 1.3387
Cl 4.0997 8.5343 1.3387
Cl 2.9555 3.3204 5.2834
Cl 2.9555 7.1074 5.2834
Cl 3.2239 0.0000 5.2817

***

# 17
12
Lattice="13.5328 0.0000 0.0000 0.0000 3.3715 0.0000 -6.3393 0.0000 8.7633" Properties=species:S:1:pos:R:3 comment="AlCl5 (PBE-GGA, optimized geometry)" raw_formation_energy_ev_per_atom=-0.924 pbc="T T T"
Al 0.0000 0.0000 0.0000
Al 6.7664 1.6858 0.0000
Cl -3.8796 0.0000 5.4871
Cl -0.5136 1.6858 1.5614
Cl -4.2265 0.0000 8.6417
Cl -0.2703 0.0000 7.2783
Cl 2.9612 1.6858 3.4843
Cl 2.8868 1.6858 5.4871
Cl 6.2528 0.0000 1.5614
Cl 2.5399 1.6858 8.6417
Cl 6.4961 1.6858 7.2783
Cl 9.7276 0.0000 3.4843

***

# 18
6
Lattice="9.3312 0.0000 0.0000 -4.6656 8.0810 0.0000 0.0000 0.0000 2.9333" Properties=species:S:1:pos:R:3 comment="AlCl5 (PBE-GGA, optimized geometry)" raw_formation_energy_ev_per_atom=-0.558 pbc="T T T"
Al 0.0000 0.0000 0.0000
Cl -3.7620 6.5159 1.4667
Cl 0.9036 1.5651 1.4667
Cl 0.0000 5.3874 0.0000
Cl 4.6656 2.6937 0.0000
Cl 7.5239 0.0000 1.4667

***

# 19
8
Lattice="4.4800 0.0000 0.0000 0.0000 4.4800 0.0000 0.0000 0.0000 7.6594" Properties=species:S:1:pos:R:3 comment="Al3Cl (PBE-GGA, optimized geometry)" raw_formation_energy_ev_per_atom=0.169 pbc="T T T"
Al 0.0000 0.0000 0.0000
Al 0.0000 2.2400 1.9149
Al 0.0000 2.2400 5.7446
Al 2.2400 0.0000 1.9149
Al 2.2400 0.0000 5.7446
Al 2.2400 2.2400 3.8297
Cl 0.0000 0.0000 3.8297
Cl 2.2400 2.2400 0.0000

***

# 20
18
Lattice="8.9462 0.0000 0.0000 -4.4731 7.7476 0.0000 0.0000 0.0000 6.0478" Properties=species:S:1:pos:R:3 comment="Al5Cl4 (PBE-GGA, optimized geometry)" raw_formation_energy_ev_per_atom=-0.079 pbc="T T T"
Al -1.2368 2.1423 1.5120
Al -3.2363 5.6054 4.5359
Al 2.4737 0.0000 1.5120
Al 1.2368 2.1423 4.5359
Al 0.0000 5.1651 0.0000
Al 0.0000 5.1651 3.0239
Al 4.4731 2.5825 0.0000
Al 4.4731 2.5825 3.0239
Al 6.4725 0.0000 4.5359
Al 3.2363 5.6054 1.5120
Cl 0.0000 0.0000 0.0000
Cl 0.0000 0.0000 3.0239
Cl -1.5353 2.6592 4.5359
Cl -2.9378 5.0884 1.5120
Cl 3.0706 0.0000 4.5359
Cl 1.5353 2.6592 1.5120
Cl 5.8756 0.0000 1.5120
Cl 2.9378 5.0884 4.5359